Model A:
A geometry-optimized KIn3Ga structure, computed with PBE.

magnetic moment = 0.000 μB/f.u.

a = 6.071 Å, b = 6.071 Å, c = 6.071 Å
α = 90.00°, β = 90.00°, γ = 90.00°
Sites, in units of the cell vectors:
K 0.000 0.000 0.000
Ga 0.500 0.500 0.500
In 0.000 0.500 0.000
In 0.000 0.000 0.500
In 0.500 0.000 0.000


Model B:
A geometry-optimized KIn3Ga structure, computed with PBE.

magnetic moment = 0.000 μB/f.u.

a = 5.529 Å, b = 5.529 Å, c = 5.529 Å
α = 90.00°, β = 90.00°, γ = 90.00°
Sites, in units of the cell vectors:
K 0.500 0.500 0.500
Ga 0.000 0.000 0.000
In 0.000 0.500 0.000
In 0.000 0.000 0.500
In 0.500 0.000 0.000


Verdict on stability: model A comes out at the bottom.


Model A:
A geometry-optimized KNa2InGa structure, computed with PBE.

magnetic moment = 0.000 μB/f.u.

a = 5.871 Å, b = 5.871 Å, c = 5.267 Å
α = 90.00°, β = 90.00°, γ = 90.00°
Sites, in units of the cell vectors:
Na 0.000 0.500 0.000
Na 0.500 0.000 0.000
K 0.500 0.500 0.500
Ga 0.000 0.000 0.000
In 0.000 0.000 0.500


Model B:
A geometry-optimized KNa2InGa structure, computed with PBE.

magnetic moment = 0.000 μB/f.u.

a = 6.061 Å, b = 6.061 Å, c = 5.249 Å
α = 90.00°, β = 90.00°, γ = 90.00°
Sites, in units of the cell vectors:
Na 0.000 0.500 0.000
Na 0.500 0.000 0.000
K 0.500 0.500 0.500
Ga 0.000 0.000 0.500
In 0.000 0.000 0.000


Verdict on stability: model B comes out at the bottom.


Model A:
A geometry-optimized LaInGa structure, computed with PBE.

magnetic moment = 0.000 μB/f.u.

a = 7.032 Å, b = 7.032 Å, c = 8.676 Å
α = 103.81°, β = 103.81°, γ = 114.28°
Sites, in units of the cell vectors:
La 0.686 0.686 0.371
La 0.314 0.314 0.629
La 0.564 0.064 0.129
La 0.936 0.436 0.871
Ga 0.923 0.423 0.500
Ga 0.673 0.673 0.000
Ga 0.577 0.077 0.500
Ga 0.327 0.327 0.000
In 0.125 0.375 0.250
In 0.125 0.875 0.750
In 0.125 0.875 0.250
In 0.625 0.875 0.750


Model B:
A geometry-optimized LaInGa structure, computed with PBE.

magnetic moment = 0.000 μB/f.u.

a = 4.918 Å, b = 4.918 Å, c = 4.918 Å
α = 60.00°, β = 60.00°, γ = 60.00°
Sites, in units of the cell vectors:
In 0.000 0.000 0.000
Ga 0.250 0.250 0.250
La 0.500 0.500 0.500


Model C:
A geometry-optimized LaInGa structure, computed with PBE.

magnetic moment = 0.000 μB/f.u.

a = 4.772 Å, b = 6.216 Å, c = 6.216 Å
α = 82.61°, β = 67.43°, γ = 67.43°
Sites, in units of the cell vectors:
La 0.500 0.500 0.000
La 0.000 0.000 0.500
In 0.750 0.904 0.096
In 0.250 0.096 0.904
Ga 0.250 0.431 0.569
Ga 0.750 0.569 0.431


Verdict on stability: model A comes out at the bottom.


Model A:
A geometry-optimized LaInGa structure, computed with PBE.

magnetic moment = 0.000 μB/f.u.

a = 4.439 Å, b = 4.597 Å, c = 4.597 Å
α = 120.00°, β = 90.00°, γ = 90.00°
Sites, in units of the cell vectors:
In 0.116 0.000 0.000
Ga 0.238 0.333 0.667
La 0.646 0.667 0.333


Model B:
A geometry-optimized LaInGa structure, computed with PBE.

magnetic moment = 0.000 μB/f.u.

a = 3.587 Å, b = 3.587 Å, c = 6.570 Å
α = 105.84°, β = 105.84°, γ = 90.00°
Sites, in units of the cell vectors:
La 0.625 0.625 0.251
Ga 0.297 0.297 0.594
In 0.928 0.928 0.855


Verdict on stability: model B comes out at the bottom.


Model A:
A geometry-optimized La4InGa2 structure, computed with PBE.

magnetic moment = 0.000 μB/f.u.

a = 5.336 Å, b = 5.336 Å, c = 9.159 Å
α = 73.06°, β = 73.06°, γ = 60.00°
Sites, in units of the cell vectors:
In 0.000 0.000 0.000
Ga 0.747 0.747 0.758
Ga 0.253 0.253 0.242
La 0.868 0.868 0.396
La 0.132 0.132 0.604
La 0.616 0.616 0.152
La 0.384 0.384 0.848


Model B:
A geometry-optimized La4InGa2 structure, computed with PBE.

magnetic moment = 0.000 μB/f.u.

a = 8.491 Å, b = 8.504 Å, c = 8.598 Å
α = 108.64°, β = 108.50°, γ = 110.97°
Sites, in units of the cell vectors:
La 0.943 0.265 0.328
La 0.307 0.485 0.172
La 0.938 0.615 0.673
La 0.735 0.057 0.673
La 0.384 0.062 0.327
La 0.312 0.135 0.827
La 0.515 0.693 0.827
La 0.866 0.688 0.173
In 0.250 0.750 0.500
In 0.000 0.000 0.000
Ga 0.625 0.375 0.750
Ga 0.625 0.875 0.250
Ga 0.625 0.375 0.250
Ga 0.125 0.375 0.750


Verdict on stability: model B comes out at the bottom.


Model A:
A geometry-optimized LaMnInGa2 structure, computed with PBE.

magnetic moment = 0.005 μB/f.u.

a = 4.697 Å, b = 4.697 Å, c = 4.932 Å
α = 90.00°, β = 90.00°, γ = 90.00°
Sites, in units of the cell vectors:
Mn 0.000 0.000 0.000
In 0.000 0.000 0.500
Ga 0.000 0.500 0.000
Ga 0.500 0.000 0.000
La 0.500 0.500 0.500


Model B:
A geometry-optimized LaMnInGa2 structure, computed with PBE.

magnetic moment = 3.914 μB/f.u.

a = 5.182 Å, b = 5.020 Å, c = 5.182 Å
α = 90.00°, β = 90.00°, γ = 90.00°
Site moments in Bohr magnetons follow the coordinates.
Sites, in units of the cell vectors:
Mn 0.000 0.500 0.000  3.73
In 0.000 0.000 0.000  -0.03
Ga 0.000 0.000 0.500  -0.01
Ga 0.500 0.000 0.000  -0.01
La 0.500 0.500 0.500  -0.04


Verdict on stability: model B comes out at the bottom.


Model A:
A geometry-optimized LaPrInGa structure, computed with PBE.

magnetic moment = 0.000 μB/f.u.

a = 5.445 Å, b = 5.445 Å, c = 5.445 Å
α = 60.00°, β = 60.00°, γ = 60.00°
Sites, in units of the cell vectors:
Pr 0.000 0.000 0.000
In 0.750 0.750 0.750
Ga 0.250 0.250 0.250
La 0.500 0.500 0.500


Model B:
A geometry-optimized LaPrInGa structure, computed with PBE.

magnetic moment = 0.000 μB/f.u.

a = 3.815 Å, b = 3.815 Å, c = 7.792 Å
α = 90.00°, β = 90.00°, γ = 90.00°
Sites, in units of the cell vectors:
La 0.500 0.500 0.121
Pr 0.500 0.500 0.593
In 0.000 0.000 0.851
Ga 0.000 0.000 0.363


Verdict on stability: model A comes out at the bottom.


Model A:
A geometry-optimized LaSmInGa structure, computed with PBE.

magnetic moment = 0.000 μB/f.u.

a = 5.393 Å, b = 5.393 Å, c = 5.393 Å
α = 60.00°, β = 60.00°, γ = 60.00°
Sites, in units of the cell vectors:
In 0.750 0.750 0.750
Ga 0.250 0.250 0.250
Sm 0.000 0.000 0.000
La 0.500 0.500 0.500


Model B:
A geometry-optimized LaSmInGa structure, computed with PBE.

magnetic moment = 0.000 μB/f.u.

a = 3.772 Å, b = 3.772 Å, c = 7.727 Å
α = 90.00°, β = 90.00°, γ = 90.00°
Sites, in units of the cell vectors:
La 0.500 0.500 0.121
Sm 0.500 0.500 0.593
In 0.000 0.000 0.844
Ga 0.000 0.000 0.370


Verdict on stability: model A comes out at the bottom.


Model A:
A geometry-optimized Li6InGa2 structure, computed with PBE.

magnetic moment = 0.000 μB/f.u.

a = 4.620 Å, b = 7.248 Å, c = 7.248 Å
α = 43.37°, β = 71.49°, γ = 71.49°
Sites, in units of the cell vectors:
Li 0.398 0.345 0.859
Li 0.220 0.780 0.780
Li 0.398 0.859 0.345
Li 0.602 0.655 0.141
Li 0.780 0.220 0.220
Li 0.602 0.141 0.655
In 0.000 0.000 0.000
Ga 0.868 0.633 0.633
Ga 0.132 0.367 0.367


Model B:
A geometry-optimized Li6InGa2 structure, computed with PBE.

magnetic moment = 0.000 μB/f.u.

a = 5.322 Å, b = 5.323 Å, c = 5.323 Å
α = 96.25°, β = 96.24°, γ = 96.24°
Sites, in units of the cell vectors:
Li 0.168 0.500 0.831
Li 0.832 0.169 0.500
Li 0.832 0.500 0.169
Li 0.500 0.169 0.831
Li 0.168 0.831 0.500
Li 0.500 0.831 0.169
In 0.000 0.000 0.000
Ga 0.658 0.659 0.659
Ga 0.342 0.341 0.341


Verdict on stability: model A comes out at the bottom.


Model A:
A geometry-optimized Li6In2Ga structure, computed with PBE.

magnetic moment = 0.000 μB/f.u.

a = 5.437 Å, b = 5.436 Å, c = 5.436 Å
α = 95.69°, β = 84.30°, γ = 84.30°
Sites, in units of the cell vectors:
Li 0.166 0.500 0.165
Li 0.834 0.835 0.500
Li 0.834 0.500 0.835
Li 0.500 0.835 0.165
Li 0.166 0.165 0.500
Li 0.500 0.165 0.835
In 0.673 0.327 0.327
In 0.327 0.673 0.673
Ga 0.000 0.000 0.000


Model B:
A geometry-optimized Li6In2Ga structure, computed with PBE.

magnetic moment = 0.000 μB/f.u.

a = 2.903 Å, b = 8.191 Å, c = 8.191 Å
α = 120.00°, β = 90.00°, γ = 90.00°
Sites, in units of the cell vectors:
Li 0.500 0.648 0.000
Li 0.500 0.352 0.352
Li 0.500 0.000 0.648
Li 0.000 0.299 0.000
Li 0.000 0.701 0.701
Li 0.000 0.000 0.299
In 0.000 0.333 0.667
In 0.000 0.667 0.333
Ga 0.500 0.000 0.000


Verdict on stability: model B comes out at the bottom.


Model A:
A geometry-optimized Li3InGa2 structure, computed with PBE.

magnetic moment = 0.000 μB/f.u.

a = 3.298 Å, b = 3.298 Å, c = 9.248 Å
α = 90.00°, β = 90.00°, γ = 90.00°
Sites, in units of the cell vectors:
Li 0.000 0.000 0.000
Li 0.000 0.000 0.689
Li 0.000 0.000 0.311
In 0.500 0.500 0.500
Ga 0.500 0.500 0.848
Ga 0.500 0.500 0.152


Model B:
A geometry-optimized Li3InGa2 structure, computed with PBE.

magnetic moment = 0.000 μB/f.u.

a = 4.084 Å, b = 4.109 Å, c = 12.341 Å
α = 90.00°, β = 90.00°, γ = 90.00°
Sites, in units of the cell vectors:
Li 0.500 0.500 0.671
Li 0.499 0.000 0.500
Li 0.500 0.500 0.329
Li 0.500 0.000 0.171
Li 0.501 0.500 0.000
Li 0.500 0.000 0.829
In 0.999 0.500 0.500
In 0.001 0.000 0.000
Ga 0.000 0.000 0.674
Ga 0.000 0.000 0.326
Ga 0.000 0.500 0.174
Ga 0.000 0.500 0.826


Verdict on stability: model B comes out at the bottom.


Model A:
A geometry-optimized Li4InGa structure, computed with PBE.

magnetic moment = 0.000 μB/f.u.

a = 4.597 Å, b = 5.535 Å, c = 8.386 Å
α = 70.96°, β = 90.00°, γ = 90.00°
Sites, in units of the cell vectors:
Li 0.250 0.782 0.416
Li 0.250 0.955 0.083
Li 0.750 0.699 0.583
Li 0.750 0.539 0.916
Li 0.750 0.218 0.584
Li 0.250 0.301 0.417
Li 0.750 0.045 0.917
Li 0.250 0.461 0.084
In 0.750 0.124 0.253
In 0.250 0.876 0.747
Ga 0.750 0.626 0.248
Ga 0.250 0.374 0.752


Model B:
A geometry-optimized Li4InGa structure, computed with PBE.

magnetic moment = 0.204 μB/f.u.

a = 5.307 Å, b = 5.307 Å, c = 5.307 Å
α = 60.00°, β = 60.00°, γ = 60.00°
Sites, in units of the cell vectors:
Li 0.625 0.625 0.125
Li 0.625 0.125 0.625
Li 0.625 0.625 0.625
Li 0.125 0.625 0.625
Ga 0.000 0.000 0.000
In 0.250 0.250 0.250


Verdict on stability: model B comes out at the bottom.